[1]
A plane-wave DFT calculation with PBE was carried out for a relaxed structure of Ge6PtRh3.

Results
SG   P2_1/c, No. 14
DFT formation energy   -0.349 eV per atom

CIF file:
```
data_Ge6PtRh3
_chemical_formula_sum 'Ge12 Pt2 Rh6'
_cell_length_a 6.6793
_cell_length_b 6.0904
_cell_length_c 9.9504
_cell_angle_alpha 90.00
_cell_angle_beta 122.47
_cell_angle_gamma 90.00
_space_group_name_H-M_alt 'P 1'
_space_group_IT_number 1
_space_group_name_Hall 'P 1'
loop_
_atom_site_label
_atom_site_fract_x
_atom_site_fract_y
_atom_site_fract_z
_atom_site_occupancy
Ge1 0.0801 0.0089 0.2773 1
Ge2 0.0801 0.4911 0.7773 1
Ge3 0.2664 0.1662 0.6037 1
Ge4 0.2664 0.3338 0.1037 1
Ge5 0.4070 0.6384 0.5711 1
Ge6 0.4070 0.8616 0.0711 1
Ge7 0.5930 0.1384 0.9289 1
Ge8 0.5930 0.3616 0.4289 1
Ge9 0.7336 0.6662 0.8963 1
Ge10 0.7336 0.8338 0.3963 1
Ge11 0.9199 0.5089 0.2227 1
Ge12 0.9199 0.9911 0.7227 1
Pt1 0.0000 0.0000 0.0000 1
Pt2 0.0000 0.5000 0.5000 1
Rh1 0.2835 0.6648 0.2631 1
Rh2 0.2835 0.8352 0.7631 1
Rh3 0.5000 0.0000 0.5000 1
Rh4 0.5000 0.5000 0.0000 1
Rh5 0.7165 0.1648 0.2369 1
Rh6 0.7165 0.3352 0.7369 1
```

[2]
A plane-wave DFT calculation with PBE was carried out for a relaxed structure of GePtRh3.

Results
SG   Pm-3m, No. 221
DFT formation energy   1.375 eV per atom
Energy above the most stable polymorph in this dataset   601 meV/atom

CIF file:
```
data_GePtRh3
_chemical_formula_sum 'Ge1 Pt1 Rh3'
_cell_length_a 4.7845
_cell_length_b 4.7845
_cell_length_c 4.7845
_cell_angle_alpha 90.00
_cell_angle_beta 90.00
_cell_angle_gamma 90.00
_space_group_name_H-M_alt 'P 1'
_space_group_IT_number 1
_space_group_name_Hall 'P 1'
loop_
_atom_site_label
_atom_site_fract_x
_atom_site_fract_y
_atom_site_fract_z
_atom_site_occupancy
Ge1 0.0000 0.0000 0.0000 1
Pt1 0.5000 0.5000 0.5000 1
Rh1 0.0000 0.5000 0.5000 1
Rh2 0.5000 0.0000 0.5000 1
Rh3 0.5000 0.5000 0.0000 1
```

[3]
A plane-wave DFT calculation with PBE was carried out for a relaxed structure of Ge4Pt5Rh4.

Results
SG   I4/m, No. 87
DFT formation energy   -0.350 eV per atom

CIF file:
```
data_Ge4Pt5Rh4
_chemical_formula_sum 'Ge4 Pt5 Rh4'
_cell_length_a 7.2408
_cell_length_b 7.2408
_cell_length_c 7.2408
_cell_angle_alpha 94.54
_cell_angle_beta 94.54
_cell_angle_gamma 147.33
_space_group_name_H-M_alt 'P 1'
_space_group_IT_number 1
_space_group_name_Hall 'P 1'
loop_
_atom_site_label
_atom_site_fract_x
_atom_site_fract_y
_atom_site_fract_z
_atom_site_occupancy
Ge1 0.0986 0.2483 0.3469 1
Ge2 0.2483 0.9014 0.1497 1
Ge3 0.7517 0.0986 0.8503 1
Ge4 0.9014 0.7517 0.6531 1
Pt1 0.0000 0.0000 0.0000 1
Pt2 0.3168 0.3916 0.7084 1
Pt3 0.3916 0.6832 0.0747 1
Pt4 0.6084 0.3168 0.9253 1
Pt5 0.6832 0.6084 0.2916 1
Rh1 0.1053 0.6056 0.7110 1
Rh2 0.3944 0.1053 0.4997 1
Rh3 0.6056 0.8947 0.5003 1
Rh4 0.8947 0.3944 0.2890 1
```

[4]
A plane-wave DFT calculation with PBE was carried out for a relaxed structure of GePt3Rh.

Results
SG   Pnma, No. 62
DFT formation energy   -0.208 eV per atom
Energy above the most stable polymorph in this dataset   0 meV/atom

CIF file:
```
data_GePt3Rh
_chemical_formula_sum 'Ge4 Pt12 Rh4'
_cell_length_a 5.6552
_cell_length_b 3.8934
_cell_length_c 14.2124
_cell_angle_alpha 90.00
_cell_angle_beta 90.00
_cell_angle_gamma 90.00
_space_group_name_H-M_alt 'P 1'
_space_group_IT_number 1
_space_group_name_Hall 'P 1'
loop_
_atom_site_label
_atom_site_fract_x
_atom_site_fract_y
_atom_site_fract_z
_atom_site_occupancy
Ge1 0.1131 0.2500 0.1109 1
Ge2 0.3869 0.7500 0.6109 1
Ge3 0.6131 0.2500 0.3891 1
Ge4 0.8869 0.7500 0.8891 1
Pt1 0.0438 0.2500 0.3449 1
Pt2 0.1599 0.2500 0.9181 1
Pt3 0.2253 0.7500 0.2276 1
Pt4 0.2747 0.2500 0.7276 1
Pt5 0.3401 0.7500 0.4181 1
Pt6 0.4562 0.7500 0.8449 1
Pt7 0.5438 0.2500 0.1551 1
Pt8 0.6599 0.2500 0.5819 1
Pt9 0.7253 0.7500 0.2724 1
Pt10 0.7747 0.2500 0.7724 1
Pt11 0.8401 0.7500 0.0819 1
Pt12 0.9562 0.7500 0.6551 1
Rh1 0.1553 0.2500 0.5371 1
Rh2 0.3447 0.7500 0.0371 1
Rh3 0.6553 0.2500 0.9629 1
Rh4 0.8447 0.7500 0.4629 1
```

[5]
A plane-wave DFT calculation with PBE was carried out for a relaxed structure of Ge4PtRh.

Results
SG   C2/c, No. 15
DFT formation energy   -0.321 eV per atom
Energy above the most stable polymorph in this dataset   0 meV/atom

CIF file:
```
data_Ge4PtRh
_chemical_formula_sum 'Ge8 Pt2 Rh2'
_cell_length_a 7.8981
_cell_length_b 7.8981
_cell_length_c 5.5666
_cell_angle_alpha 110.60
_cell_angle_beta 110.60
_cell_angle_gamma 119.03
_space_group_name_H-M_alt 'P 1'
_space_group_IT_number 1
_space_group_name_Hall 'P 1'
loop_
_atom_site_label
_atom_site_fract_x
_atom_site_fract_y
_atom_site_fract_z
_atom_site_occupancy
Ge1 0.1160 0.5031 0.8808 1
Ge2 0.1330 0.2320 0.2325 1
Ge3 0.2320 0.1330 0.7325 1
Ge4 0.4969 0.8840 0.6192 1
Ge5 0.5031 0.1160 0.3808 1
Ge6 0.7680 0.8670 0.2675 1
Ge7 0.8670 0.7680 0.7675 1
Ge8 0.8840 0.4969 0.1192 1
Pt1 0.1991 0.8009 0.7500 1
Pt2 0.8009 0.1991 0.2500 1
Rh1 0.4536 0.5464 0.2500 1
Rh2 0.5464 0.4536 0.7500 1
```

[6]
A plane-wave DFT calculation with PBE was carried out for a relaxed structure of GePtRh2.

Results
SG   P4/mmm, No. 123
DFT formation energy   -0.231 eV per atom

CIF file:
```
data_GePtRh2
_chemical_formula_sum 'Ge1 Pt1 Rh2'
_cell_length_a 2.9123
_cell_length_b 2.9123
_cell_length_c 6.9094
_cell_angle_alpha 90.00
_cell_angle_beta 90.00
_cell_angle_gamma 90.00
_space_group_name_H-M_alt 'P 1'
_space_group_IT_number 1
_space_group_name_Hall 'P 1'
loop_
_atom_site_label
_atom_site_fract_x
_atom_site_fract_y
_atom_site_fract_z
_atom_site_occupancy
Ge1 0.0000 0.0000 0.0000 1
Pt1 0.0000 0.0000 0.5000 1
Rh1 0.5000 0.5000 0.2159 1
Rh2 0.5000 0.5000 0.7841 1
```

What is the DFT formation energy in the first record? -0.349 eV per atom

Look up the DFT formation energy of the second one. 1.375 eV per atom

What did the fifth record say?
A plane-wave DFT calculation with PBE was carried out for a relaxed structure of Ge4PtRh.

Results
SG   C2/c, No. 15
DFT formation energy   -0.321 eV per atom
Energy above the most stable polymorph in this dataset   0 meV/atom

CIF file:
```
data_Ge4PtRh
_chemical_formula_sum 'Ge8 Pt2 Rh2'
_cell_length_a 7.8981
_cell_length_b 7.8981
_cell_length_c 5.5666
_cell_angle_alpha 110.60
_cell_angle_beta 110.60
_cell_angle_gamma 119.03
_space_group_name_H-M_alt 'P 1'
_space_group_IT_number 1
_space_group_name_Hall 'P 1'
loop_
_atom_site_label
_atom_site_fract_x
_atom_site_fract_y
_atom_site_fract_z
_atom_site_occupancy
Ge1 0.1160 0.5031 0.8808 1
Ge2 0.1330 0.2320 0.2325 1
Ge3 0.2320 0.1330 0.7325 1
Ge4 0.4969 0.8840 0.6192 1
Ge5 0.5031 0.1160 0.3808 1
Ge6 0.7680 0.8670 0.2675 1
Ge7 0.8670 0.7680 0.7675 1
Ge8 0.8840 0.4969 0.1192 1
Pt1 0.1991 0.8009 0.7500 1
Pt2 0.8009 0.1991 0.2500 1
Rh1 0.4536 0.5464 0.2500 1
Rh2 0.5464 0.4536 0.7500 1
```